Material: HoEr3Rh
Method: DFT, GGA-PBE
State: relaxed

Structure (CIF):
```
data_HoEr3Rh
_cell_length_a 11.8638
_cell_length_b 3.7383
_cell_length_c 13.5080
_cell_angle_alpha 90.00
_cell_angle_beta 115.24
_cell_angle_gamma 90.00
_symmetry_space_group_name_H-M 'C 1 m 1'
_symmetry_Int_Tables_number 8
loop_
_symmetry_equiv_pos_as_xyz
'x,y,z'
'x,-y,z'
'x+1/2,y+1/2,z'
'x+1/2,-y+1/2,z'
loop_
_atom_site_label
_atom_site_type_symbol
_atom_site_fract_x
_atom_site_fract_y
_atom_site_fract_z
Ho1 Ho 0.0000 0.0000 0.0000
Ho2 Ho 0.1085 0.0000 0.2815
Er1 Er 0.1535 0.5000 0.5260
Er2 Er 0.1690 0.5000 0.8890
Er3 Er 0.3159 0.0000 0.7640
Er4 Er 0.3316 0.0000 0.1278
Er5 Er 0.3764 0.5000 0.3725
Er6 Er 0.4850 0.5000 0.6528
Rh1 Rh 0.1696 0.5000 0.1558
Rh2 Rh 0.3166 0.0000 0.4988
```

The crystal system is monoclinic. For the formation energy, the calculation gives -406 meV/atom. The calculation puts the energy relative to the lowest polymorph listed for this composition at 0 meV per atom. For the total energy, the calculation gives -0.2032 Ha/atom.